[1]
7
Lattice="-0.807 0.376 4.610 1.028 -6.128 3.072 6.017 0.039 3.441" Properties=species:S:1:pos:R:3 comment="Na5SeO, relaxed, DFT PBE" raw_formation_energy_ev_per_atom=-0.88 dos_at_fermi_per_ev_cell=1.19 magmom_total_mub_per_fu=0.00 pbc="T T T"
Na 4.563 -1.071 5.669
Na 1.675 -4.642 5.455
Na 1.355 -1.404 5.134
Na 4.883 -4.309 5.989
Na 3.523 -3.045 3.256
Se 0.000 0.000 0.000
O 3.119 -2.856 5.562

[2]
4
Lattice="4.561 0.000 0.000 0.000 3.122 0.297 0.000 -0.546 5.732" Properties=species:S:1:pos:R:3 comment="USbPd2, relaxed, DFT PBE" raw_formation_energy_ev_per_atom=-0.34 dos_at_fermi_per_ev_cell=5.42 magmom_total_mub_per_fu=2.11 pbc="T T T"
U 2.281 1.561 0.149
Sb 2.281 -0.273 2.866
Pd 0.000 -0.127 1.343
Pd 0.000 2.703 4.685

[3]
5
Lattice="-4.993 1.576 -2.406 -2.870 -2.404 4.381 0.199 5.121 2.941" Properties=species:S:1:pos:R:3 comment="RbAlAs2Se, relaxed, DFT PBE" raw_formation_energy_ev_per_atom=1.48 dos_at_fermi_per_ev_cell=5.96 magmom_total_mub_per_fu=1.44 polymorph_energy_ev_per_atom=1.520 pbc="T T T"
As -1.435 -1.202 2.190
As -2.497 0.788 -1.203
Se 0.100 2.561 1.471
Rb 0.000 0.000 0.000
Al -3.832 2.147 2.458

[4]
4
Lattice="0.000 3.165 3.165 3.165 0.000 3.165 3.165 3.165 0.000" Properties=species:S:1:pos:R:3 comment="HfTc2Os, relaxed, DFT PBE" delta_e_f_ev_per_atom=-0.01 dos_at_fermi_per_ev_cell=6.46 magmom_total_mub_per_fu=0.00 polymorph_energy_ev_per_atom=0.000 pbc="T T T"
Hf 0.000 0.000 0.000
Os 3.165 3.165 3.165
Tc 1.582 1.582 1.582
Tc 4.747 4.747 4.747

[5]
16
Lattice="-4.039 -1.535 -0.564 1.702 -2.506 -5.364 2.214 -7.344 4.133" Properties=species:S:1:pos:R:3 comment="NbZn3Ir4, relaxed, DFT PBE" delta_e_f_ev_per_atom=-0.35 dos_at_fermi_per_ev_cell=1.57 magmom_total_mub_per_fu=0.00 pbc="T T T"
Nb 0.851 -1.253 -2.682
Nb 1.958 -4.925 -0.616
Ir -0.735 -2.659 -4.331
Ir 0.372 -6.331 -2.265
Ir -1.602 -1.382 -1.597
Ir -0.495 -5.054 0.469
Ir 2.945 -7.400 -0.949
Ir -2.201 -5.262 -3.580
Ir -3.068 -3.985 -0.846
Ir 2.077 -6.122 1.784
Zn 0.000 0.000 0.000
Zn 1.107 -3.672 2.066
Zn -0.359 -6.276 2.818
Zn -1.466 -2.603 0.751
Zn 0.492 -7.528 0.135
Zn -0.615 -3.856 -1.931

[6]
19
Lattice="6.378 -0.026 -0.031 -0.992 6.300 -0.031 -0.992 -1.156 6.193" Properties=species:S:1:pos:R:3 comment="Ca6PO12, relaxed, DFT PBE" raw_formation_energy_ev_per_atom=-2.15 dos_at_fermi_per_ev_cell=9.25 magmom_total_mub_per_fu=1.11 pbc="T T T"
Ca 3.630 4.797 2.331
Ca 3.524 1.312 0.996
Ca 0.202 3.596 1.469
Ca 0.763 0.322 3.801
Ca 0.869 3.806 5.136
Ca 4.191 1.522 4.663
P 0.000 0.000 0.000
O 4.732 2.708 2.708
O 1.438 5.008 3.148
O 1.959 1.755 5.490
O -0.339 2.410 3.424
O 2.955 0.110 2.983
O 2.434 3.363 0.641
O -0.863 5.900 1.655
O -1.569 3.498 5.795
O 3.695 5.884 0.031
O 5.256 -0.781 4.477
O 5.963 1.621 0.336
O 0.698 -0.766 6.101

[7]
20
Lattice="0.000 6.057 6.057 6.057 0.000 6.057 6.057 6.057 0.000" Properties=species:S:1:pos:R:3 comment="Sc3BiC, relaxed, DFT PBE" delta_e_f_ev_per_atom=-0.37 dos_at_fermi_per_ev_cell=18.70 magmom_total_mub_per_fu=0.89 pbc="T T T"
Sc 2.333 6.057 6.057
Sc 5.362 3.029 3.029
Sc 3.029 3.029 5.362
Sc 0.695 3.029 3.029
Sc 3.029 0.695 3.029
Sc 6.057 9.781 6.057
Sc 3.029 5.362 3.029
Sc 3.029 3.029 0.695
Sc 6.057 2.333 6.057
Sc 9.781 6.057 6.057
Sc 6.057 6.057 2.333
Sc 6.057 6.057 9.781
C 1.514 1.514 1.514
C 4.543 1.514 4.543
C 1.514 4.543 4.543
C 4.543 4.543 1.514
Bi 7.572 7.572 7.572
Bi 4.543 7.572 4.543
Bi 7.572 4.543 4.543
Bi 4.543 4.543 7.572

[8]
10
Lattice="-0.742 2.804 -3.510 1.249 -3.289 -2.891 -10.363 -3.444 -0.561" Properties=species:S:1:pos:R:3 comment="La2MgSb3Pt4, relaxed, DFT PBE" raw_formation_energy_ev_per_atom=-0.95 dos_at_fermi_per_ev_cell=5.16 magmom_total_mub_per_fu=0.00 pbc="T T T"
La -2.806 0.593 -1.887
La -7.303 -4.279 -1.874
Mg -4.928 -1.964 -3.481
Sb -5.181 -1.722 -0.280
Sb -9.358 -1.585 -2.241
Sb -0.751 -2.101 -1.520
Pt 0.254 -0.242 -3.201
Pt 0.000 0.000 0.000
Pt -6.894 -0.766 -2.108
Pt -3.215 -2.920 -1.653

[9]
4
Lattice="3.244 0.000 0.000 0.000 3.244 0.000 0.000 0.000 6.592" Properties=species:S:1:pos:R:3 comment="TiInPt2, relaxed, DFT PBE" delta_e_f_ev_per_atom=-0.71 dos_at_fermi_per_ev_cell=3.00 magmom_total_mub_per_fu=0.00 pbc="T T T"
Ti 0.000 0.000 3.296
Pt 1.622 1.622 1.875
Pt 1.622 1.622 4.718
In 0.000 0.000 0.000

[10]
6
Lattice="4.527 0.000 0.000 0.000 6.394 0.000 -2.264 -3.197 6.762" Properties=species:S:1:pos:R:3 comment="Nd2ThSb3, relaxed, DFT PBE" raw_formation_energy_ev_per_atom=-1.12 dos_at_fermi_per_ev_cell=2.26 magmom_total_mub_per_fu=0.00 pbc="T T T"
Nd 2.264 0.000 2.258
Nd 0.000 3.197 4.503
Th 0.000 3.197 0.000
Sb 0.000 0.000 4.527
Sb 0.000 0.000 0.000
Sb 2.264 3.197 2.234

[11]
6
Lattice="-2.720 -0.742 -1.570 1.530 -5.295 6.506 -2.269 2.641 2.683" Properties=species:S:1:pos:R:3 comment="HfAlAg, relaxed, DFT PBE" delta_e_f_ev_per_atom=-0.21 dos_at_fermi_per_ev_cell=4.16 magmom_total_mub_per_fu=0.00 pbc="T T T"
Hf -1.003 -5.213 4.937
Hf -0.523 -2.211 5.987
Al -0.576 -3.027 3.146
Al -2.481 0.898 1.272
Ag -1.477 -0.526 3.524
Ag -1.581 -1.603 0.896

[12]
7
Lattice="-2.040 -3.019 3.511 4.630 -1.310 1.564 -1.333 8.233 2.659" Properties=species:S:1:pos:R:3 comment="Pm2DyTe2S2, relaxed, DFT PBE" raw_formation_energy_ev_per_atom=-1.46 dos_at_fermi_per_ev_cell=2.88 magmom_total_mub_per_fu=0.00 pbc="T T T"
Pm -0.029 4.678 4.006
Pm 1.286 -0.774 3.728
Dy 0.000 0.000 0.000
Te -0.014 2.272 1.946
Te 1.271 1.632 5.788
S 2.315 -0.655 0.782
S -1.020 -1.510 1.755

[13]
5
Lattice="-0.942 5.429 -0.303 -3.485 -0.446 2.836 3.380 0.825 4.283" Properties=species:S:1:pos:R:3 comment="Sr2NiPtN, relaxed, DFT PBE" raw_formation_energy_ev_per_atom=0.58 dos_at_fermi_per_ev_cell=2.11 magmom_total_mub_per_fu=1.97 polymorph_energy_ev_per_atom=1.194 pbc="T T T"
Sr 1.690 0.413 2.142
Sr -0.471 2.715 -0.151
N -0.523 2.904 3.408
Pt -1.743 -0.223 1.418
Ni 0.000 0.000 0.000

[14]
10
Lattice="-1.796 1.175 5.635 -5.497 -1.676 1.823 -0.619 -4.499 3.966" Properties=species:S:1:pos:R:3 comment="Ba2UTaN6, relaxed, DFT PBE" raw_formation_energy_ev_per_atom=-0.80 dos_at_fermi_per_ev_cell=5.59 magmom_total_mub_per_fu=0.00 pbc="T T T"
Ba -5.934 -3.751 8.568
Ba -1.978 -1.250 2.856
U 0.000 0.000 0.000
Ta -3.956 -2.500 5.712
N -5.021 -4.312 5.750
N -4.716 -2.094 3.795
N -2.311 -3.486 4.851
N -5.602 -1.515 6.573
N -2.891 -0.688 5.674
N -3.196 -2.907 7.630

[15]
4
Lattice="5.414 0.000 0.000 2.707 4.688 0.000 2.707 1.563 4.420" Properties=species:S:1:pos:R:3 comment="Ac2AsCl, relaxed, DFT PBE" raw_formation_energy_ev_per_atom=-1.33 dos_at_fermi_per_ev_cell=3.01 magmom_total_mub_per_fu=0.00 polymorph_energy_ev_per_atom=0.198 pbc="T T T"
Ac 2.707 1.563 1.105
Ac 8.121 4.688 3.315
As 5.414 3.126 2.210
Cl 0.000 0.000 0.000

[16]
6
Lattice="-6.248 -0.725 -3.067 -5.562 -4.104 -1.090 -9.070 0.302 3.664" Properties=species:S:1:pos:R:3 comment="CdBr, relaxed, DFT PBE" raw_formation_energy_ev_per_atom=-0.50 dos_at_fermi_per_ev_cell=1.30 magmom_total_mub_per_fu=0.00 pbc="T T T"
Cd -13.618 -2.788 -0.040
Cd -4.139 -0.315 0.897
Cd -9.132 -3.542 -2.885
Br -8.934 0.178 3.405
Br -7.279 -1.247 0.394
Br -11.211 -1.793 0.825

[17]
16
Lattice="4.490 0.000 0.000 -2.245 8.968 0.000 0.000 0.000 10.091" Properties=species:S:1:pos:R:3 comment="Ce2Cd5Au, relaxed, DFT PBE" delta_e_f_ev_per_atom=-0.23 dos_at_fermi_per_ev_cell=34.59 magmom_total_mub_per_fu=2.27 pbc="T T T"
Ce 2.245 5.706 7.568
Ce 0.000 3.262 2.523
Ce 0.000 0.000 0.000
Ce 0.000 0.000 5.046
Cd 0.000 3.590 9.018
Cd 2.245 5.378 1.073
Cd 0.000 3.590 6.119
Cd 2.245 5.378 3.973
Cd 0.000 6.454 9.824
Cd 2.245 2.515 0.268
Cd 0.000 6.454 5.313
Cd 2.245 2.515 4.778
Cd 2.245 1.883 7.568
Cd 0.000 7.085 2.523
Au 0.000 8.094 7.568
Au 2.245 0.874 2.523

[18]
4
Lattice="-4.154 -2.618 -3.810 -1.641 -4.786 -3.609 -1.599 -1.590 2.837" Properties=species:S:1:pos:R:3 comment="TaAgP2, relaxed, DFT PBE" delta_e_f_ev_per_atom=-0.14 dos_at_fermi_per_ev_cell=1.75 magmom_total_mub_per_fu=0.00 polymorph_energy_ev_per_atom=0.005 pbc="T T T"
Ag -1.566 -1.944 -1.396
P -0.337 -0.374 0.181
P -5.593 -6.863 -4.110
Ta -3.595 -4.310 -1.548

[19]
80
Lattice="15.491 0.000 0.000 -5.164 14.606 0.000 -5.164 -7.303 12.649" Properties=species:S:1:pos:R:3 comment="Rb3Be5I12, relaxed, DFT PBE" raw_formation_energy_ev_per_atom=-0.57 dos_at_fermi_per_ev_cell=23.27 magmom_total_mub_per_fu=1.01 pbc="T T T"
Rb 9.037 4.564 1.581
Rb 9.037 10.041 1.581
Rb -1.291 6.390 7.905
Rb 1.291 -0.913 4.743
Rb 11.619 0.000 3.162
Rb 1.291 7.303 3.162
Rb 3.873 0.000 9.487
Rb -6.455 7.303 9.487
Rb 3.873 8.216 7.905
Rb 6.455 0.913 4.743
Rb -3.873 -2.739 11.068
Rb -3.873 2.739 11.068
Be -1.291 3.651 3.162
Be -2.582 7.303 0.000
Be 0.000 0.000 0.000
Be 3.873 2.739 1.581
Be 5.164 -3.651 6.324
Be 5.164 7.303 0.000
Be -3.873 8.216 4.743
Be 6.455 -4.564 11.068
Be 6.455 6.390 4.743
Be 1.291 -3.651 9.487
Be 3.873 10.954 3.162
Be 2.582 3.651 6.324
Be 7.746 0.000 0.000
Be -2.582 -3.651 6.324
Be -1.291 0.913 7.905
Be -1.291 11.867 1.581
Be -5.164 3.651 6.324
Be 9.037 -0.913 7.905
Be 1.291 4.564 11.068
Be 6.455 3.651 9.487
I 10.188 1.534 0.047
I 0.140 4.459 5.020
I 11.826 3.511 3.864
I 6.247 2.061 1.352
I 1.950 5.099 8.738
I 11.334 7.416 2.413
I -1.499 8.753 5.216
I -3.665 12.545 1.352
I 0.632 9.507 8.738
I 6.739 7.190 2.413
I 7.885 4.378 4.973
I 7.885 13.072 0.047
I -4.532 6.465 6.371
I 3.588 5.156 1.109
I -5.303 10.228 4.973
I 2.721 -2.844 7.629
I -0.632 1.366 2.460
I 3.588 9.336 1.305
I 6.247 11.094 3.864
I -1.007 5.269 1.305
I -3.214 8.669 10.188
I 4.081 5.852 5.216
I 7.114 8.140 6.371
I 6.170 -2.147 11.540
I 1.083 1.451 7.433
I -1.950 -0.837 6.277
I -1.007 9.449 1.109
I -1.083 -3.791 8.785
I 8.377 -1.366 2.460
I 6.170 2.034 11.344
I 1.575 -2.034 11.344
I 2.442 10.147 5.020
I 5.796 5.936 10.188
I 10.467 -2.925 7.676
I 9.696 0.837 6.277
I -2.721 -5.769 12.602
I 1.575 2.147 11.540
I 4.532 -2.204 3.911
I -1.575 0.113 10.235
I -2.721 2.925 7.676
I 8.829 -5.242 11.297
I 6.663 -1.451 7.433
I -1.083 5.242 11.297
I -6.170 -0.113 10.235
I 3.214 2.204 3.911
I -6.663 3.792 8.785
I 5.024 2.844 7.629
I -5.024 5.769 12.602

[20]
20
Lattice="-0.345 1.115 5.424 -8.842 3.606 -1.304 -0.584 -12.108 2.453" Properties=species:S:1:pos:R:3 comment="Y6Tm3Tl, relaxed, DFT PBE" delta_e_f_ev_per_atom=-0.06 dos_at_fermi_per_ev_cell=30.31 magmom_total_mub_per_fu=0.00 polymorph_energy_ev_per_atom=0.000 pbc="T T T"
Y -4.196 1.090 0.928
Y -5.575 -8.477 5.645
Y -1.527 -1.275 1.584
Y -8.244 -6.111 4.989
Y -6.540 -5.310 2.095
Y -3.231 -2.077 4.478
Y -2.540 -4.825 2.249
Y -7.231 -2.562 4.323
Y -7.694 -0.303 0.992
Y -2.077 -7.084 5.581
Y -1.278 -9.894 3.372
Y -8.493 2.507 3.201
Tm -4.921 -2.269 1.573
Tm -4.850 -5.117 5.000
Tm -4.125 -7.712 2.742
Tm -5.646 0.325 3.830
Tm -7.477 -8.709 2.734
Tm -2.294 1.322 3.839
Tl -8.978 -3.342 1.535
Tl -0.793 -4.045 5.038

What are the VASP energy values for these records? In order: -21.19; -27.17; -10.11; -41.94; -104.21; -117.82; -135.75; -57.49; -25.54; -36.02; -34.38; -38.88; -20.60; -84.97; -20.03; -10.75; -43.12; -26.08; -205.82; -110.32 eV for the cell shown.